K2TlBr (GGA-PBE, optimized geometry); size of the total moment = 0.0 Bohr magnetons per cell; ΔE to the lowest computed polymorph = 381 meV/atom; space-group type = F-43m, No. 216; N(E_F) = 0.45 states/eV per atom; ΔE_f (raw) = -0.42 eV/atom
1.0
6.1423 0.0000 0.0000
3.0712 5.3194 0.0000
3.0712 1.7731 5.0152
K Br Tl
2 1 1
Direct
0.0000 0.0000 0.0000 K
0.2500 0.2500 0.2500 K
0.5000 0.5000 0.5000 Br
0.7500 0.7500 0.7500 Tl

***

K4TlBr (GGA-PBE, optimized geometry); size of the total moment = 1.2 Bohr magnetons per cell; space-group type = F-43m, No. 216; N(E_F) = 1.03 states/eV per atom; ΔE_f (raw) = -0.11 eV/atom
1.0
0.0000 5.3990 5.3990
5.3990 0.0000 5.3990
5.3990 5.3990 0.0000
K Tl Br
4 1 1
Direct
0.8754 0.3749 0.3749 K
0.3749 0.3749 0.8754 K
0.3749 0.8754 0.3749 K
0.3749 0.3749 0.3749 K
0.7500 0.7500 0.7500 Tl
0.0000 0.0000 0.0000 Br

***

K2Tl3Br5 (GGA-PBE, optimized geometry); size of the total moment = 0.0 Bohr magnetons per cell; space-group type = C2/m, No. 12; N(E_F) = 0.00 states/eV per atom; ΔE_f (raw) = -1.17 eV/atom
1.0
4.4523 0.0000 0.9880
1.7899 8.3386 2.4597
0.0762 -0.9227 10.1827
Tl Br K
3 5 2
Direct
0.1125 0.6431 0.1319 Tl
0.8875 0.3569 0.8681 Tl
0.5000 0.5000 0.5000 Tl
0.8937 0.7953 0.4172 Br
0.7142 0.3704 0.2013 Br
0.1063 0.2047 0.5828 Br
0.0000 0.0000 0.0000 Br
0.2858 0.6296 0.7987 Br
0.3306 0.0684 0.2704 K
0.6694 0.9316 0.7296 K

***

K2TlBr5 (GGA-PBE, optimized geometry); size of the total moment = 0.0 Bohr magnetons per cell; ΔE to the lowest computed polymorph = 21 meV/atom; space-group type = I4mm, No. 107; ΔE_f (raw) = -1.08 eV/atom
1.0
8.2295 0.0009 0.0006
0.0011 8.2298 0.0003
-4.1145 -4.1149 4.7662
Br K Tl
5 2 1
Direct
0.8000 0.2617 0.0616 Br
0.2615 0.2615 0.0612 Br
0.7999 0.7998 0.0615 Br
0.6964 0.6965 0.3931 Br
0.2616 0.7999 0.0615 Br
0.7423 0.2424 0.4848 K
0.2425 0.7424 0.4848 K
0.9729 0.9729 0.9457 Tl

***

K2TlBr (GGA-PBE, optimized geometry); size of the total moment = 0.1 Bohr magnetons per cell; ΔE to the lowest computed polymorph = 60 meV/atom; space-group type = Cm, No. 8; N(E_F) = 0.72 states/eV per atom; ΔE_f (raw) = -0.74 eV/atom
1.0
-1.3031 1.8128 10.0884
1.5054 -0.9435 10.1786
2.8884 2.9702 0.8259
Br K Tl
1 2 1
Direct
0.2970 0.2970 0.1820 Br
0.7169 0.7169 0.7729 K
0.9293 0.9293 0.0929 K
0.5567 0.5567 0.4521 Tl

***

KTlBr (GGA-PBE, optimized geometry); size of the total moment = 0.0 Bohr magnetons per cell; ΔE to the lowest computed polymorph = 323 meV/atom; space-group type = F-43m, No. 216; N(E_F) = 0.96 states/eV per atom; ΔE_f (raw) = -0.50 eV/atom
1.0
5.6404 0.0000 0.0000
2.8202 4.8847 0.0000
2.8202 1.6282 4.6054
Tl Br K
1 1 1
Direct
0.0000 0.0000 0.0000 Tl
0.5000 0.5000 0.5000 Br
0.7500 0.7500 0.7500 K

***

Which formula does entry 1 have? K2TlBr

***

Number 2 is which compound? K4TlBr

***

The highest ΔE_f (raw) belongs to which entry? K4TlBr